No. 1
CaFe2Pb | PBE-GGA | relaxed

Unit cell a=9.5457 b=9.5457 c=9.5457 alpha=19.44 beta=19.44 gamma=19.44
Site moments in Bohr magnetons follow the coordinates.
Fractional coordinates of all 4 atoms:
Fe 0.9964 0.9964 0.9964  2.78
Fe 0.5036 0.5036 0.5036  2.78
Ca 0.7500 0.7500 0.7500  -0.15
Pb 0.2500 0.2500 0.2500  -0.03

* calculated volume: 21.06 Å³ per atom
* ΔE_f: 3.09 eV/f.u.
* total moment: 5.03 μB/f.u.

=====

No. 2
CaCrMo2 | PBE-GGA | relaxed

Unit cell a=5.5519 b=5.5519 c=2.6501 alpha=90.00 beta=90.00 gamma=122.13
Site moments in Bohr magnetons follow the coordinates.
Fractional coordinates of all 4 atoms:
Ca 0.5000 0.0000 0.5000  0.03
Cr 0.0000 0.5000 0.5000  1.92
Mo 0.0000 0.0000 0.0000  -0.16
Mo 0.5000 0.5000 0.0000  -0.16

* calculated volume: 17.29 Å³ per atom
* ΔE_f: 3.37 eV/f.u.
* ΔE to the lowest computed polymorph: 1.114 eV/f.u.
* total moment: 1.75 μB/f.u.

=====

No. 3
In2PtRh | PBE-GGA | relaxed

Unit cell a=4.8209 b=4.8209 c=4.8209 alpha=126.56 beta=126.55 gamma=78.98
Fractional coordinates of all 4 atoms:
In 0.5000 0.5000 0.0000
In 0.0000 0.0000 0.0000
Rh 0.7500 0.2500 0.5000
Pt 0.2500 0.7500 0.5000

* calculated volume: 17.48 Å³ per atom
* ΔE_f: -1.58 eV/f.u.
* total moment: 0.00 μB/f.u.